YAlCr2: relaxed, GGA-PBE.

a b c (Å): 3.0246 3.0246 26.3107
angles (deg): 90.00 90.00 120.00
With the nearest neighbours (Å) after each atom.
Space group R3m (No. 160, hexagonal axes)
Asymmetric unit:
Y1 0.0000 0.0000 0.0000  6 Y 3.02, 3 Cr 3.03, 3 Al 3.22
Al1 0.0000 0.0000 0.2304  3 Cr 2.72, 6 Al 3.02
Cr1 0.0000 0.0000 0.4843  3 Cr 2.30
Cr2 0.0000 0.0000 0.7606  3 Cr 2.30

The total energy comes out at -6.9360 eV per atom. The crystal system is trigonal.


Tc2HgBr: relaxed, GGA-PBE.

a b c (Å): 3.0218 3.0218 8.6437
angles (deg): 90.00 90.00 90.00
With the nearest neighbours (Å) after each atom.
Space group P4mm (No. 99)
Asymmetric unit:
Tc1 0.0000 0.0000 0.0000  4 Tc 2.59
Tc2 0.5000 0.5000 0.1692  4 Tc 2.59, 4 Br 2.89
Hg1 0.5000 0.5000 0.7594  4 Tc 2.98, 4 Hg 3.02
Br1 0.0000 0.0000 0.3942  4 Tc 2.89, 4 Br 3.02

The total energy comes out at -5.3691 eV per atom. The crystal system is tetragonal. Its raw formation energy is 30 kJ per mole of atoms. Its relative energy among the computed polymorphs is 63 meV per atom.


CrRh2Se: relaxed, GGA-PBE.

a b c (Å): 5.2548 5.2548 11.7266
angles (deg): 90.00 90.00 90.00
With the nearest neighbours (Å) after each atom.
Space group I-42d (No. 122)
Asymmetric unit:
Cr1 0.0000 0.0000 0.0000  4 Rh 2.33
Rh1 0.2371 0.2500 0.1250  2 Cr 2.33, 2 Se 2.40
Se1 0.0000 0.0000 0.5000  4 Rh 2.40

The total energy comes out at -6.5334 eV per atom. The crystal system is tetragonal. Its raw formation energy is 40 kJ per mole of atoms.


ZrTaNb2N: relaxed, GGA-PBE.

a b c (Å): 4.4975 4.4975 4.1260
angles (deg): 90.00 90.00 90.00
With the nearest neighbours (Å) after each atom.
Space group P4/mmm (No. 123)
Asymmetric unit:
Zr1 0.0000 0.0000 0.0000  8 Nb 3.05, 4 Ta 3.18
Ta1 0.5000 0.5000 0.0000  2 N 2.06
Nb1 0.0000 0.5000 0.5000  2 N 2.25
N1 0.5000 0.5000 0.5000  2 Ta 2.06, 4 Nb 2.25

The total energy comes out at -10.2446 eV per atom. The crystal system is tetragonal. Its raw formation energy is -45 kJ per mole of atoms. Its relative energy among the computed polymorphs is 0 meV per atom.


K2HgBi2: relaxed, GGA-PBE.

a b c (Å): 8.0494 8.0494 5.7940
angles (deg): 90.00 90.00 90.00
With the nearest neighbours (Å) after each atom.
Space group P4/mbm (No. 127)
Asymmetric unit:
K1 0.1666 0.3334 0.0000  6 Bi 3.65-3.81, 1 K 3.79
Hg1 0.0000 0.0000 0.5000  4 Bi 3.12
Bi1 0.1387 0.6387 0.5000  2 Hg 3.12, 1 Bi 3.16

The total energy comes out at -2.3506 eV per atom. The crystal system is tetragonal. Its relative energy among the computed polymorphs is 0 meV per atom.


La6Nd5Er: relaxed, GGA-PBE.

a b c (Å): 6.4115 11.1277 12.1747
angles (deg): 90.00 100.19 90.00
With the nearest neighbours (Å) after each atom.
Space group C2/m (No. 12)
Asymmetric unit:
La1 0.2481 0.1656 0.2482  1 Er 3.66, 5 Nd 3.67-3.71, 6 La 3.69-3.72
La2 0.2497 0.0000 0.7515  1 Er 3.66, 5 Nd 3.67-3.70, 6 La 3.69-3.72
Nd1 0.0000 0.1664 0.5000  6 La 3.69-3.71, 6 Nd 3.70-3.71
Nd2 0.0000 0.3332 0.0000  6 La 3.67, 3 Nd 3.70-3.71, 3 Er 3.70-3.71
Nd3 0.0000 0.5000 0.5000  6 La 3.69-3.70, 6 Nd 3.70-3.71
Er1 0.0000 0.0000 0.0000  6 La 3.66, 6 Nd 3.70-3.71

The total energy comes out at -4.8200 eV per atom. The crystal system is monoclinic. Its relative energy among the computed polymorphs is 0 meV per atom.


TbNdHoZn: relaxed, GGA-PBE.

a b c (Å): 7.6225 7.6225 7.6225
angles (deg): 90.00 90.00 90.00
With the nearest neighbours (Å) after each atom.
Space group F-43m (No. 216)
Asymmetric unit:
Tb1 0.0000 0.0000 0.0000  4 Ho 3.30, 4 Zn 3.30
Nd1 0.0000 0.0000 0.5000  4 Zn 3.30, 4 Ho 3.30
Ho1 0.2500 0.2500 0.7500  4 Tb 3.30, 4 Nd 3.30
Zn1 0.2500 0.2500 0.2500  4 Tb 3.30, 4 Nd 3.30

The total energy comes out at -3.7739 eV per atom. The crystal system is cubic. Its relative energy among the computed polymorphs is 201 meV per atom.